Entry 1:
DFT (GGA-PBE) results for TmInAu2 after structural relaxation.

Properties
DOS at the Fermi energy: 1.8 states/eV/cell
Magnetization: 0.000 μB per atom

a = 3.5262 Å, b = 3.5262 Å, c = 6.9922 Å
α = 90.00°, β = 90.00°, γ = 90.00°
Closest atoms and distances in Å follow each position.
Space group P4/mmm (No. 123)
Unique sites:
Tm 0.0000 0.0000 0.0000 [1 per cell]  8 Au 3.01
In 0.0000 0.0000 0.5000 [1 per cell]  8 Au 3.08
Au 0.5000 0.5000 0.2410 [2 per cell]  4 Tm 3.01, 4 In 3.08, 1 Au 3.37

Entry 2:
DFT (GGA-PBE) results for Tm4InAu7 after structural relaxation.

Properties
DOS at the Fermi energy: 12.3 states/eV/cell
Magnetization: 0.000 μB per atom

a = 14.2545 Å, b = 5.1974 Å, c = 8.7081 Å
α = 90.00°, β = 123.26°, γ = 90.00°
Closest atoms and distances in Å follow each position.
Space group C2/m (No. 12)
Unique sites:
Tm 0.0628 0.0000 0.2388 [4 per cell]  6 Au 2.87-3.04
Tm 0.2409 0.0000 0.7562 [4 per cell]  8 Au 2.87-3.22
In 0.0000 0.5000 0.5000 [2 per cell]  4 Au 2.60-2.78
Au 0.0000 0.0000 0.5000 [2 per cell]  2 In 2.60, 4 Tm 2.87-2.89
Au 0.0520 0.5000 0.8816 [4 per cell]  3 Tm 2.91-2.94, 1 In 2.98, 3 Au 3.09-3.13
Au 0.1880 0.0000 0.0514 [4 per cell]  5 Tm 2.95-3.05, 3 Au 3.09-3.24
Au 0.1981 0.5000 0.5083 [4 per cell]  1 In 2.78, 2 Tm 2.87, 2 Au 3.03

Which calculated formation energy belongs to each record? In order, -0.60; -0.66 eV/atom.